Entry 1:
Compound: RbSi2Pt
Source: the Alexandria database
Functional: PBE
Structure: relaxed Values from VASP.

The energy above the most stable polymorph in this dataset comes out at 72 meV per atom. The value obtained for the density of states at the Fermi level is 1.0 states/eV/f.u.

The structure in Quantum ESPRESSO input format:
```
&SYSTEM
  ibrav = 0, nat = 4, ntyp = 3
/
ATOMIC_SPECIES
Rb 85.47 Rb.upf
Si 28.09 Si.upf
Pt 195.08 Pt.upf
CELL_PARAMETERS angstrom
3.3409 0.0000 0.0000
0.0000 3.3409 0.0000
0.0000 0.0000 7.7864
ATOMIC_POSITIONS angstrom
Rb 1.6705 1.6705 3.8932
Si 0.0000 0.0000 1.2271
Pt 1.6705 1.6705 0.0000
Si 0.0000 0.0000 6.5593
```


Entry 2:
Compound: LiPmHoSb
Source: the Alexandria database
Functional: PBE
Structure: relaxed Values from VASP.

The calculation puts the final energy at -4.297 eV/atom. The value obtained for the density of states at the Fermi level is 3.5 states/eV/f.u.

The structure in Quantum ESPRESSO input format:
```
&SYSTEM
  ibrav = 0, nat = 4, ntyp = 4
/
ATOMIC_SPECIES
Li 6.94 Li.upf
Ho 164.93 Ho.upf
Pm 145.00 Pm.upf
Sb 121.76 Sb.upf
CELL_PARAMETERS angstrom
-0.3214 4.2217 3.1083
-2.4596 -0.3283 4.6293
2.7642 0.1926 4.4621
ATOMIC_POSITIONS angstrom
Li 0.0000 0.0000 0.0000
Ho -0.0126 3.0645 9.1498
Pm -0.0042 1.0215 3.0499
Sb -0.0084 2.0430 6.0999
```


Entry 3:
Compound: CsSb4
Source: the Alexandria database
Functional: PBE
Structure: relaxed Values from VASP.

The calculation puts the final energy at -1.854 eV/atom. The value obtained for the density of states at the Fermi level is 5.6 states/eV/f.u.

The structure in Quantum ESPRESSO input format:
```
&SYSTEM
  ibrav = 0, nat = 5, ntyp = 2
/
ATOMIC_SPECIES
Cs 132.91 Cs.upf
Sb 121.76 Sb.upf
CELL_PARAMETERS angstrom
-4.7829 -1.3117 -3.4869
3.6987 -0.9934 -4.6998
0.4455 -5.8350 1.5840
ATOMIC_POSITIONS angstrom
Cs -0.3194 -4.0701 -3.3013
Sb 0.0000 0.0000 0.0000
Sb -2.1687 -3.5734 -0.9514
Sb 2.0721 -3.4142 -1.5579
Sb -0.5421 -1.1526 -4.0933
```


Entry 4:
Compound: TlCuGe2H
Source: the Alexandria database
Functional: PBE
Structure: relaxed Values from VASP.

The calculation puts the final energy at -3.334 eV/atom. The value obtained for the density of states at the Fermi level is 2.1 states/eV/f.u.

The structure in Quantum ESPRESSO input format:
```
&SYSTEM
  ibrav = 0, nat = 5, ntyp = 4
/
ATOMIC_SPECIES
Ge 72.64 Ge.upf
Cu 63.55 Cu.upf
Tl 204.38 Tl.upf
H 1.01 H.upf
CELL_PARAMETERS angstrom
-4.6917 0.3365 0.3420
-0.3073 -0.4477 -3.7757
-0.2929 -4.6715 0.5778
ATOMIC_POSITIONS angstrom
Ge -2.3458 0.1683 0.1710
Cu -0.1537 -0.2239 -1.8879
Ge -0.1465 -2.3357 0.2889
Tl -2.6460 -2.3913 -1.4280
H 0.0000 0.0000 0.0000
```


Entry 5:
Compound: Y2BeIn
Source: the Alexandria database
Functional: PBE
Structure: relaxed Values from VASP.

The energy above the most stable polymorph in this dataset comes out at 415 meV per atom. The value obtained for the density of states at the Fermi level is 2.5 states/eV/f.u. The energy of formation from the pure elements comes out at 0.1949 eV per atom.

The structure in Quantum ESPRESSO input format:
```
&SYSTEM
  ibrav = 0, nat = 8, ntyp = 3
/
ATOMIC_SPECIES
Be 9.01 Be.upf
Y 88.91 Y.upf
In 114.82 In.upf
CELL_PARAMETERS angstrom
7.8814 0.0000 0.0000
0.0000 7.8814 0.0000
3.9407 3.9407 3.3234
ATOMIC_POSITIONS angstrom
Be 3.9407 3.9407 0.0000
Y 5.5737 1.9703 0.8309
In 7.8814 3.9407 1.6617
Y 5.9110 6.2484 2.4926
In 0.0000 0.0000 0.0000
Y 9.8517 9.5144 2.4926
Be 3.9407 7.8814 1.6617
Y 2.3077 5.9110 0.8309
```


Entry 6:
Compound: SrMgCd2Hg5
Source: the Alexandria database
Functional: PBE
Structure: relaxed Values from VASP.

The value obtained for the density of states at the Fermi level is 4.3 states/eV/f.u. The energy of formation from the pure elements comes out at -0.0990 eV per atom.

The structure in Quantum ESPRESSO input format:
```
&SYSTEM
  ibrav = 0, nat = 9, ntyp = 4
/
ATOMIC_SPECIES
Hg 200.59 Hg.upf
Cd 112.41 Cd.upf
Sr 87.62 Sr.upf
Mg 24.30 Mg.upf
CELL_PARAMETERS angstrom
-3.4830 3.6409 1.5383
-3.8844 -4.7169 2.3690
7.1942 1.0411 4.8042
ATOMIC_POSITIONS angstrom
Hg -3.5488 -1.4856 4.5020
Hg 1.5699 -0.7420 5.3107
Cd 1.3140 0.1883 2.5295
Sr -1.9422 -2.3585 1.1845
Cd -1.4873 -0.2232 6.1819
Hg 3.3756 1.4507 4.2095
Hg 0.0000 0.0000 0.0000
Mg -1.7415 1.8204 0.7691
Hg -1.7431 0.7071 3.4007
```